The following is a DFT calculation (PBE-GGA) of a relaxed K2ZrRe crystal.

a b c (Å): 5.5402 5.5402 5.5402
angles (deg): 60.00 60.00 60.00
With the nearest neighbours (Å) after each atom.
Atoms (fractional coordinates):
K: 0.2500 0.2500 0.2500  4 Zr 3.39, 4 Re 3.39
K: 0.7500 0.7500 0.7500  4 Zr 3.39, 4 Re 3.39
Zr: 0.0000 0.0000 0.0000  8 K 3.39
Re: 0.5000 0.5000 0.5000  8 K 3.39

Computed properties:
* symmetry: Fm-3m
* N(E_F): 5.725 states/eV per cell
* energy of formation from the pure elements: 206.0 kJ/mol of atoms
* energy above the lowest structure with this stoichiometry: 1489 meV/atom
* E_tot: -14.65 eV per cell